[1]
## Mg2BeGe2Pd5 (PBE-GGA)

Data for crystalline Mg2BeGe2Pd5 at its relaxed geometry.

As for the magnetic moment: 0.000 μB/atom. For the volume, the calculation gives 314 Å³ per cell. Its total energy is -93.74 eV for the cell shown. The value obtained for the formation energy is -476 meV per atom.

```
data_Mg2BeGe2Pd5
_chemical_formula_sum 'Mg4 Be2 Ge4 Pd10'
_cell_length_a 10.177
_cell_length_b 10.177
_cell_length_c 3.028
_cell_angle_alpha 90.00
_cell_angle_beta 90.00
_cell_angle_gamma 90.00
_space_group_name_H-M_alt 'P 4/m b m'
_space_group_IT_number 127
_space_group_name_Hall '-P 4 2ab'
loop_
_atom_site_label
_atom_site_fract_x
_atom_site_fract_y
_atom_site_fract_z
_atom_site_occupancy
Mg1 0.168 0.332 0.000 1
Be1 0.000 0.000 0.000 1
Ge1 0.143 0.643 0.000 1
Pd1 0.000 0.500 0.500 1
Pd2 0.025 0.807 0.500 1
```

=====

[2]
## DyLu2Ga (PBE-GGA)

Data for crystalline DyLu2Ga at its relaxed geometry.

Its offset from the most stable computed form is 52 meV/atom. As for the magnetic moment: 0.000 μB/atom. For the volume, the calculation gives 101 Å³ per cell. Its total energy is -17.62 eV for the cell shown. The value obtained for the formation energy is -238 meV per atom.

```
data_DyLu2Ga
_chemical_formula_sum 'Dy1 Lu2 Ga1'
_cell_length_a 4.652
_cell_length_b 4.652
_cell_length_c 4.664
_cell_angle_alpha 90.00
_cell_angle_beta 90.00
_cell_angle_gamma 90.00
_space_group_name_H-M_alt 'P 4/m m m'
_space_group_IT_number 123
_space_group_name_Hall '-P 4 2'
loop_
_atom_site_label
_atom_site_fract_x
_atom_site_fract_y
_atom_site_fract_z
_atom_site_occupancy
Dy1 0.000 0.000 0.000 1
Lu1 0.000 0.500 0.500 1
Ga1 0.500 0.500 0.000 1
```

=====

[3]
## CaPtAu2 (PBE-GGA)

Data for crystalline CaPtAu2 at its relaxed geometry.

Its offset from the most stable computed form is 26 meV/atom. As for the magnetic moment: 0.000 μB/atom. For the volume, the calculation gives 152 Å³ per cell. Its total energy is -33.55 eV for the cell shown. The value obtained for the formation energy is -544 meV per atom.

```
data_CaPtAu2
_chemical_formula_sum 'Ca2 Pt2 Au4'
_cell_length_a 4.121
_cell_length_b 4.131
_cell_length_c 8.923
_cell_angle_alpha 90.00
_cell_angle_beta 90.00
_cell_angle_gamma 90.00
_space_group_name_H-M_alt 'I m m m'
_space_group_IT_number 71
_space_group_name_Hall '-I 2 2'
loop_
_atom_site_label
_atom_site_fract_x
_atom_site_fract_y
_atom_site_fract_z
_atom_site_occupancy
Ca1 0.000 0.000 0.000 1
Pt1 0.000 0.000 0.500 1
Au1 0.000 0.500 0.250 1
```

=====

[4]
## ZrPPd (PBE-GGA)

Data for crystalline ZrPPd at its relaxed geometry.

As for the magnetic moment: 0.000 μB/atom. For the volume, the calculation gives 208 Å³ per cell. Its total energy is -87.47 eV for the cell shown. The value obtained for the formation energy is -905 meV per atom.

```
data_ZrPPd
_chemical_formula_sum 'Zr4 P4 Pd4'
_cell_length_a 10.461
_cell_length_b 3.780
_cell_length_c 5.572
_cell_angle_alpha 90.00
_cell_angle_beta 109.51
_cell_angle_gamma 90.00
_space_group_name_H-M_alt 'C 1 m 1'
_space_group_IT_number 8
loop_
_space_group_symop_operation_xyz
'x,y,z'
'x,-y,z'
'x+1/2,y+1/2,z'
'x+1/2,-y+1/2,z'
loop_
_atom_site_label
_atom_site_fract_x
_atom_site_fract_y
_atom_site_fract_z
_atom_site_occupancy
Zr1 0.000 0.000 0.000 1
Zr2 0.153 0.500 0.610 1
P1 0.301 0.000 0.946 1
P2 0.471 0.500 0.477 1
Pd1 0.235 0.500 0.164 1
Pd2 0.358 0.000 0.563 1
```

=====

[5]
## LaZrTlIn (PBE-GGA)

Data for crystalline LaZrTlIn at its relaxed geometry.

As for the magnetic moment: 0.153 μB/atom. For the volume, the calculation gives 430 Å³ per cell. Its total energy is -77.15 eV for the cell shown. The value obtained for the formation energy is -177 meV per atom.

```
data_LaZrTlIn
_chemical_formula_sum 'La4 Zr4 Tl4 In4'
_cell_length_a 7.549
_cell_length_b 7.549
_cell_length_c 7.549
_cell_angle_alpha 90.00
_cell_angle_beta 90.00
_cell_angle_gamma 90.00
_space_group_name_H-M_alt 'F -4 3 m'
_space_group_IT_number 216
_space_group_name_Hall 'F -4 2 3'
loop_
_atom_site_label
_atom_site_fract_x
_atom_site_fract_y
_atom_site_fract_z
_atom_site_occupancy
La1 0.000 0.000 0.000 1
Zr1 0.000 0.000 0.500 1
Tl1 0.250 0.250 0.250 1
In1 0.250 0.250 0.750 1
```

=====

[6]
## Hg2SbAs (PBE-GGA)

Data for crystalline Hg2SbAs at its relaxed geometry.

Its offset from the most stable computed form is 259 meV/atom. As for the magnetic moment: 0.000 μB/atom. For the volume, the calculation gives 194 Å³ per cell. Its total energy is -16.39 eV for the cell shown. The value obtained for the energy relative to the elements, uncorrected is 0.296 eV per atom.

```
data_Hg2SbAs
_chemical_formula_sum 'Hg4 Sb2 As2'
_cell_length_a 6.285
_cell_length_b 10.126
_cell_length_c 3.230
_cell_angle_alpha 90.00
_cell_angle_beta 109.02
_cell_angle_gamma 90.00
_space_group_name_H-M_alt 'C 1 2/m 1'
_space_group_IT_number 12
loop_
_space_group_symop_operation_xyz
'x,y,z'
'-x,-y,-z'
'-x,y,-z'
'x,-y,z'
'x+1/2,y+1/2,z'
'-x+1/2,-y+1/2,-z'
'-x+1/2,y+1/2,-z'
'x+1/2,-y+1/2,z'
loop_
_atom_site_label
_atom_site_fract_x
_atom_site_fract_y
_atom_site_fract_z
_atom_site_occupancy
Hg1 0.250 0.250 0.000 1
Sb1 0.000 0.000 0.500 1
As1 0.000 0.500 0.500 1
```

=====

[7]
## CdCu2Tc (PBE-GGA)

Data for crystalline CdCu2Tc at its relaxed geometry.

As for the magnetic moment: 0.311 μB/atom. For the volume, the calculation gives 266 Å³ per cell. Its total energy is -65.23 eV for the cell shown. The value obtained for the formation energy is 792 meV per atom.

```
data_CdCu2Tc
_chemical_formula_sum 'Cd4 Cu8 Tc4'
_cell_length_a 3.835
_cell_length_b 3.835
_cell_length_c 18.076
_cell_angle_alpha 90.00
_cell_angle_beta 90.00
_cell_angle_gamma 90.00
_space_group_name_H-M_alt 'I -4 2 d'
_space_group_IT_number 122
_space_group_name_Hall 'I -4 2bw'
loop_
_atom_site_label
_atom_site_fract_x
_atom_site_fract_y
_atom_site_fract_z
_atom_site_occupancy
Cd1 0.000 0.000 0.000 1
Cu1 0.230 0.250 0.625 1
Tc1 0.000 0.000 0.500 1
```

=====

[8]
## KSr2O2 (PBE-GGA)

Data for crystalline KSr2O2 at its relaxed geometry.

As for the magnetic moment: 0.000 μB/atom. For the volume, the calculation gives 300 Å³ per cell. Its total energy is -47.76 eV for the cell shown. The value obtained for the energy relative to the elements, uncorrected is -1.900 eV per atom.

```
data_KSr2O2
_chemical_formula_sum 'K2 Sr4 O4'
_cell_length_a 4.693
_cell_length_b 4.693
_cell_length_c 13.645
_cell_angle_alpha 90.00
_cell_angle_beta 90.00
_cell_angle_gamma 90.00
_space_group_name_H-M_alt 'I 4/m m m'
_space_group_IT_number 139
_space_group_name_Hall '-I 4 2'
loop_
_atom_site_label
_atom_site_fract_x
_atom_site_fract_y
_atom_site_fract_z
_atom_site_occupancy
K1 0.000 0.000 0.000 1
Sr1 0.000 0.000 0.302 1
O1 0.000 0.500 0.250 1
```

=====

Question: What is the magnetic moment in the first record?
Answer: 0.000 μB/atom